18
Lattice="3.520 2.032 5.420 -3.520 2.032 5.420 0.000 -4.065 5.420" Properties=species:S:1:pos:R:3 comment="Dy2ZnNi12B3 | Alexandria via LeMat-Bulk | GGA-PBE | relaxed" rho_g_cm3=8.0 ef_mev_per_atom=-69 spacegroup="No. 166" pbc="T T T"
Dy 0.000 0.000 1.537
Dy 0.000 0.000 14.725
Zn 0.000 0.000 8.131
Ni -2.026 -1.170 7.335
Ni 0.000 -1.611 5.847
Ni -1.395 0.806 5.847
Ni 0.000 -2.339 8.926
Ni -2.026 1.170 8.926
Ni -1.395 -0.806 10.415
Ni 1.395 0.806 5.847
Ni 2.026 -1.170 7.335
Ni 0.000 2.339 7.335
Ni 1.395 -0.806 10.415
Ni 0.000 1.611 10.415
Ni 2.026 1.170 8.926
B -1.760 -1.016 5.420
B -1.760 1.016 10.841
B 0.000 2.032 5.420